No. 1
# BaHfC2

BaHfC2 after structural relaxation (GGA-PBE, Alexandria).

Results
magnetization = 0.0 μB/cell
total DFT energy (no corrections) = -28.11 eV/f.u.
density of states at the Fermi level = 3.908 states/eV/f.u.
space-group type = I-42d (122)
energy above the most stable polymorph in this dataset = 0.0000 eV/atom

Geometry as POSCAR:
```
BaHfC2
1.0
-2.907 2.907 5.395
2.907 -2.907 5.395
2.907 2.907 -5.395
Ba Hf C
2 2 4
direct
0.000 0.000 0.000
0.750 0.250 0.500
0.250 0.750 0.500
0.500 0.500 0.000
0.232 0.625 0.107
0.375 0.482 0.607
0.518 0.125 0.893
0.875 0.768 0.393
```

No. 2
# YMn2Rh

YMn2Rh after structural relaxation (GGA-PBE, Alexandria).

Results
magnetization = 1.6 μB/cell
total DFT energy (no corrections) = -31.65 eV/f.u.
density of states at the Fermi level = 3.559 states/eV/f.u.
space-group type = C2/m (12)

Geometry as POSCAR:
```
YMn2Rh
1.0
4.420 -1.723 0.000
4.420 1.723 0.000
-1.404 0.000 4.664
Y Mn Rh
1 2 1
direct
0.000 0.000 0.000
0.229 0.229 0.610
0.771 0.771 0.390
0.500 0.500 0.500
```

Question: What is the magnetization in the first record?
Answer: 0.0 μB/cell

Question: Which value of magnetization does entry 2 give?
Answer: 1.6 μB/cell

Question: Which value of total DFT energy (no corrections) does entry 1 give?
Answer: -28.11 eV/f.u.